# Rb2CuP

An optimized crystal structure of Rb2CuP (PBE, Alexandria via LeMat-Bulk).

Properties
- Symmetry: No. 122
- Energy of formation: -0.6 eV per formula unit

Cell: 12.8946 12.8946 9.3693 Å, 46.52 46.52 90.00°
Element x y z (fractional)
1 P 0.5000 0.5000 0.0000
2 P 0.2500 0.7500 0.5000
3 Rb 0.8696 0.1250 0.2500
4 Rb 0.8750 0.1196 0.7500
5 Rb 0.8804 0.6250 0.2500
6 Rb 0.3750 0.1304 0.7500
7 Cu 0.7500 0.2500 0.5000
8 Cu 0.0000 0.0000 0.0000